Below is a relaxed Fe6SiB crystal, with properties calculated at the PBE-GGA level.

**ρ**: 7123 kg/m3
**Fermi-level density of states**: 0.67 states/eV/atom

Cell lengths 6.8946, 4.5603, 5.5455 Å; angles 90.00, 90.00, 90.00 degrees
Closest atoms and distances in Å follow each position.
Element x y z (fractional)
Fe  0.0000  0.1183  0.0000  2 B 2.16-2.19
Fe  0.0000  0.8817  0.5000  2 B 2.16-2.19
Fe  0.1817  0.4022  0.6516  2 B 2.09-2.11
Fe  0.1817  0.5978  0.1516  2 B 2.09-2.11
Fe  0.2809  0.1106  0.2907  1 B 2.19, 2 Si 2.26-2.30, 1 Fe 2.45
Fe  0.2809  0.8894  0.7907  1 B 2.19, 2 Si 2.26-2.30, 1 Fe 2.45
Fe  0.5000  0.3397  0.9791  3 Si 2.27-2.45, 2 Fe 2.52
Fe  0.5000  0.6603  0.4791  3 Si 2.27-2.45, 2 Fe 2.52
Fe  0.7191  0.1106  0.2907  1 B 2.19, 2 Si 2.26-2.30, 1 Fe 2.45
Fe  0.7191  0.8894  0.7907  1 B 2.19, 2 Si 2.26-2.30, 1 Fe 2.45
Fe  0.8183  0.4022  0.6516  2 B 2.09-2.11
Fe  0.8183  0.5978  0.1516  2 B 2.09-2.11
Si  0.5000  0.1811  0.5890  9 Fe 2.26-2.45
Si  0.5000  0.8189  0.0890  9 Fe 2.26-2.45
B  0.0000  0.3220  0.3567  8 Fe 2.09-2.19
B  0.0000  0.6780  0.8567  8 Fe 2.09-2.19



Below is a relaxed Fe5SiB2 crystal, with properties calculated at the PBE-GGA level.

**ρ**: 7020 kg/m3
**Fermi-level density of states**: 0.88 states/eV/atom

Cell lengths 6.4488, 6.4488, 6.4488 Å; angles 129.51, 129.51, 74.18 degrees
Closest atoms and distances in Å follow each position.
Element x y z (fractional)
Fe  0.0000  0.0000  0.0000  4 B 2.19
Fe  0.0323  0.5323  0.8378  3 B 2.14-2.17, 2 Si 2.35
Fe  0.1945  0.0323  0.5000  3 B 2.14-2.17, 2 Si 2.35
Fe  0.3055  0.8055  0.8378  3 B 2.14-2.17, 2 Si 2.35
Fe  0.4677  0.3055  0.5000  3 B 2.14-2.17, 2 Si 2.35
Fe  0.5000  0.5000  0.0000  4 B 2.19
Fe  0.5323  0.6945  0.5000  3 B 2.14-2.17, 2 Si 2.35
Fe  0.6945  0.1945  0.1622  3 B 2.14-2.17, 2 Si 2.35
Fe  0.8055  0.9677  0.5000  3 B 2.14-2.17, 2 Si 2.35
Fe  0.9677  0.4677  0.1622  3 B 2.14-2.17, 2 Si 2.35
Si  0.2500  0.2500  0.0000  10 Fe 2.35-2.57
Si  0.7500  0.7500  0.0000  10 Fe 2.35-2.57
B  0.1194  0.3806  0.5000  1 B 1.86
B  0.3806  0.8806  0.2613  1 B 1.86
B  0.6194  0.1194  0.7387  1 B 1.86
B  0.8806  0.6194  0.5000  1 B 1.86



Below is a relaxed FeSiB crystal, with properties calculated at the PBE-GGA level.

**ρ**: 5035 kg/m3
**Polymorph energy (0 for the lowest one)**: 0.13 eV/f.u.
**Fermi-level density of states**: 0.51 states/eV/atom

Cell lengths 3.8892, 3.8892, 4.6710 Å; angles 97.35, 97.35, 63.47 degrees
Closest atoms and distances in Å follow each position.
Element x y z (fractional)
Fe  0.2260  0.2260  0.3395  4 B 2.05-2.13, 1 Si 2.28
Fe  0.7740  0.7740  0.6605  4 B 2.05-2.13, 1 Si 2.28
Si  0.1450  0.1450  0.8476  2 B 2.12, 1 Fe 2.28
Si  0.8550  0.8550  0.1524  2 B 2.12, 1 Fe 2.28
B  0.2891  0.7109  0.5000  1 B 1.73
B  0.7109  0.2891  0.5000  1 B 1.73



Below is a relaxed FeSiB crystal, with properties calculated at the PBE-GGA level.

**ρ**: 4930 kg/m3
**Polymorph energy (0 for the lowest one)**: 0.26 eV/f.u.
**Fermi-level density of states**: 0.07 states/eV/atom

Cell lengths 3.8493, 3.8493, 4.4201 Å; angles 92.03, 92.03, 77.31 degrees
Closest atoms and distances in Å follow each position.
Element x y z (fractional)
Fe  0.1983  0.1983  0.3825  4 B 2.01-2.07
Fe  0.8017  0.8017  0.6175  4 B 2.01-2.07
Si  0.2918  0.0729  0.8809  1 B 2.24, 3 Fe 2.27-2.34, 1 Si 2.47
Si  0.9271  0.7082  0.1191  1 B 2.24, 3 Fe 2.27-2.34, 1 Si 2.47
B  0.3304  0.6696  0.5000  1 B 1.70
B  0.6844  0.3156  0.5000  1 B 1.70



In the order shown, the computed ΔE_f (raw) values come out to -1.3, -2.8, -0.7, -0.6 eV/f.u..